Entry a
Material: La8Pm3Nd2
Method: DFT, PBE
State: relaxed

## Properties
magnetization = 0.000 μB per cell
crystal system = monoclinic
symmetry = C2/m (12)

a = 9.0819 Å, b = 9.0819 Å, c = 6.3122 Å
α = 107.96°, β = 107.96°, γ = 81.78°
Fractional coordinates of all 13 atoms:
La  0.0428  0.0428  0.2809
La  0.0662  0.5962  0.8385
La  0.3618  0.3618  0.4211
La  0.4038  0.9338  0.1615
La  0.5962  0.0662  0.8385
La  0.6382  0.6382  0.5789
La  0.9338  0.4038  0.1615
La  0.9572  0.9572  0.7191
Pm  0.2523  0.7477  0.5000
Pm  0.5000  0.5000  0.0000
Pm  0.7477  0.2523  0.5000
Nd  0.2151  0.2151  0.7962
Nd  0.7849  0.7849  0.2038

Entry b
Material: La8Pm3Nd2
Method: DFT, PBE
State: relaxed

## Properties
magnetization = 0.000 μB per cell
crystal system = monoclinic
symmetry = C2/m (12)

a = 11.1560 Å, b = 11.1560 Å, c = 5.9273 Å
α = 90.04°, β = 90.04°, γ = 40.67°
Fractional coordinates of all 13 atoms:
La  0.0992  0.6928  0.9998
La  0.1735  0.1735  0.5013
La  0.3072  0.9008  0.0002
La  0.3656  0.3656  0.5009
La  0.6344  0.6344  0.4991
La  0.6928  0.0992  0.9998
La  0.8265  0.8265  0.4987
La  0.9008  0.3072  0.0002
Pm  0.2189  0.7811  0.5000
Pm  0.5000  0.5000  0.0000
Pm  0.7811  0.2189  0.5000
Nd  0.2577  0.2577  0.0018
Nd  0.7423  0.7423  0.9982

Which structure is the most stable? The one labeled entry a.

Entry a
Material: La2Pm3Nd5
Method: DFT, PBE
State: relaxed

## Properties
magnetization = 0.000 μB per cell
crystal system = monoclinic
symmetry = C2/c (15)

a = 10.2762 Å, b = 10.2762 Å, c = 9.2674 Å
α = 108.91°, β = 108.91°, γ = 114.54°
Fractional coordinates of all 20 atoms:
La  0.0245  0.2757  0.0490
La  0.2757  0.0245  0.5490
La  0.7243  0.9755  0.4510
La  0.9755  0.7243  0.9510
Pm  0.2346  0.4855  0.4689
Pm  0.2770  0.7230  0.2500
Pm  0.4855  0.2346  0.9689
Pm  0.5145  0.7654  0.0311
Pm  0.7230  0.2770  0.7500
Pm  0.7654  0.5145  0.5311
Nd  0.0261  0.9739  0.7500
Nd  0.1233  0.3762  0.7490
Nd  0.2197  0.7803  0.7500
Nd  0.3762  0.1233  0.2490
Nd  0.4706  0.5294  0.2500
Nd  0.5294  0.4706  0.7500
Nd  0.6238  0.8767  0.7510
Nd  0.7803  0.2197  0.2500
Nd  0.8767  0.6238  0.2510
Nd  0.9739  0.0261  0.2500

Entry b
Material: La2Pm3Nd5
Method: DFT, PBE
State: relaxed

## Properties
magnetization = 0.000 μB per cell
crystal system = orthorhombic
symmetry = Ibam (72)

a = 10.8985 Å, b = 10.8985 Å, c = 10.8985 Å
α = 125.47°, β = 73.28°, γ = 135.03°
Fractional coordinates of all 20 atoms:
La  0.1164  0.1100  0.2264
La  0.3836  0.6100  0.9936
La  0.6164  0.3900  0.0064
La  0.8836  0.8900  0.7736
Pm  0.1244  0.7483  0.8727
Pm  0.2500  0.2500  0.0000
Pm  0.3756  0.2483  0.6239
Pm  0.6244  0.7517  0.3761
Pm  0.7500  0.7500  0.0000
Pm  0.8756  0.2517  0.1273
Nd  0.0095  0.2500  0.7595
Nd  0.1337  0.4001  0.5338
Nd  0.2500  0.7500  0.5000
Nd  0.3663  0.9001  0.2664
Nd  0.4905  0.2500  0.2405
Nd  0.5095  0.7500  0.7595
Nd  0.6337  0.0999  0.7336
Nd  0.7500  0.2500  0.5000
Nd  0.8663  0.5999  0.4662
Nd  0.9905  0.7500  0.2405

Which structure is the most stable? The one labeled entry a.

Entry a
Material: La6Pm4Nd
Method: DFT, PBE
State: relaxed

## Properties
magnetization = 0.000 μB per cell
crystal system = hexagonal
symmetry = P-6m2 (187)

a = 11.2637 Å, b = 11.2637 Å, c = 3.6646 Å
α = 90.00°, β = 90.00°, γ = 120.00°
Fractional coordinates of all 11 atoms:
La  0.1845  0.3690  0.0000
La  0.1845  0.8155  0.0000
La  0.5327  0.0654  0.5000
La  0.5327  0.4673  0.5000
La  0.6310  0.8155  0.0000
La  0.9346  0.4673  0.5000
Pm  0.3191  0.1596  0.0000
Pm  0.3333  0.6667  0.5000
Pm  0.8404  0.1596  0.0000
Pm  0.8404  0.6809  0.0000
Nd  0.0000  0.0000  0.5000

Entry b
Material: La6Pm4Nd
Method: DFT, PBE
State: relaxed

## Properties
magnetization = 0.000 μB per cell
crystal system = orthorhombic
symmetry = Cmcm (63)

a = 5.8053 Å, b = 5.8053 Å, c = 26.3919 Å
α = 90.00°, β = 90.00°, γ = 117.21°
Fractional coordinates of all 22 atoms:
La  0.0000  0.0000  0.0000
La  0.0000  0.0000  0.5000
La  0.0586  0.9414  0.7500
La  0.2946  0.7054  0.1014
La  0.2946  0.7054  0.3986
La  0.3846  0.6154  0.6823
La  0.3846  0.6154  0.8177
La  0.6154  0.3846  0.1823
La  0.6154  0.3846  0.3177
La  0.7054  0.2946  0.6014
La  0.7054  0.2946  0.8986
La  0.9414  0.0586  0.2500
Pm  0.0533  0.9467  0.6238
Pm  0.0533  0.9467  0.8762
Pm  0.3520  0.6480  0.5446
Pm  0.3520  0.6480  0.9554
Pm  0.6480  0.3520  0.0446
Pm  0.6480  0.3520  0.4554
Pm  0.9467  0.0533  0.1238
Pm  0.9467  0.0533  0.3762
Nd  0.2834  0.7166  0.2500
Nd  0.7166  0.2834  0.7500

Which structure is the most stable? The one labeled entry b.

Entry a
Material: La7PmNd2
Method: DFT, PBE
State: relaxed

## Properties
magnetization = 0.473 μB per cell
crystal system = orthorhombic
symmetry = Cmmm (65)

a = 9.3211 Å, b = 9.3211 Å, c = 5.6606 Å
α = 90.00°, β = 90.00°, γ = 121.89°
Fractional coordinates of all 10 atoms:
La  0.0000  0.0000  0.0000
La  0.1989  0.4270  0.0000
La  0.2582  0.7418  0.5000
La  0.4270  0.1989  0.0000
La  0.5730  0.8011  0.0000
La  0.7418  0.2582  0.5000
La  0.8011  0.5730  0.0000
Pm  0.5000  0.5000  0.5000
Nd  0.2002  0.7998  0.0000
Nd  0.7998  0.2002  0.0000

Entry b
Material: La7PmNd2
Method: DFT, PBE
State: relaxed

## Properties
magnetization = 0.000 μB per cell
crystal system = orthorhombic
symmetry = Cmmm (65)

a = 10.5966 Å, b = 10.5966 Å, c = 3.5783 Å
α = 90.00°, β = 90.00°, γ = 109.49°
Fractional coordinates of all 10 atoms:
La  0.0000  0.0000  0.0000
La  0.1146  0.3733  0.0000
La  0.1794  0.8206  0.5000
La  0.3733  0.1146  0.0000
La  0.6267  0.8854  0.0000
La  0.8206  0.1794  0.5000
La  0.8854  0.6267  0.0000
Pm  0.5000  0.5000  0.5000
Nd  0.3316  0.6684  0.0000
Nd  0.6684  0.3316  0.0000

Which structure is the most stable? The one labeled entry b.

Entry a
Material: La5Pm2Nd2
Method: DFT, PBE
State: relaxed

## Properties
magnetization = 0.000 μB per cell
crystal system = monoclinic
symmetry = C2/m (12)

a = 4.3792 Å, b = 4.3792 Å, c = 17.1412 Å
α = 97.29°, β = 97.29°, γ = 89.98°
Fractional coordinates of all 9 atoms:
La  0.0000  0.0000  0.0000
La  0.2205  0.2205  0.4408
La  0.4448  0.4448  0.8907
La  0.5552  0.5552  0.1093
La  0.7795  0.7795  0.5592
Pm  0.3341  0.3341  0.6685
Pm  0.6659  0.6659  0.3315
Nd  0.1125  0.1125  0.2247
Nd  0.8875  0.8875  0.7753

Entry b
Material: La5Pm2Nd2
Method: DFT, PBE
State: relaxed

## Properties
magnetization = 0.000 μB per cell
crystal system = monoclinic
symmetry = C2 (5)

a = 10.2848 Å, b = 10.2848 Å, c = 11.9803 Å
α = 125.52°, β = 125.52°, γ = 40.00°
Fractional coordinates of all 18 atoms:
La  0.0171  0.6952  0.0840
La  0.0523  0.0521  0.2842
La  0.3048  0.9829  0.9160
La  0.4299  0.0705  0.4967
La  0.4480  0.4480  0.6798
La  0.5168  0.1950  0.1279
La  0.5520  0.5520  0.3202
La  0.8050  0.4832  0.8721
La  0.9295  0.5701  0.5033
La  0.9479  0.9477  0.7158
Pm  0.1304  0.3700  0.7554
Pm  0.3519  0.6481  0.0000
Pm  0.6300  0.8696  0.2446
Pm  0.8505  0.1495  0.5000
Nd  0.2001  0.5418  0.3651
Nd  0.4582  0.7999  0.6349
Nd  0.7009  0.0402  0.8764
Nd  0.9598  0.2991  0.1236

Which structure is the most stable? The one labeled entry a.

Entry a
Material: LaPm7Nd12
Method: DFT, PBE
State: relaxed

## Properties
magnetization = 0.000 μB per cell
crystal system = trigonal
symmetry = R-3 (148)

a = 8.9485 Å, b = 8.9485 Å, c = 8.9485 Å
α = 87.67°, β = 87.67°, γ = 87.67°
Fractional coordinates of all 20 atoms:
La  0.0000  0.0000  0.0000
Pm  0.0073  0.8806  0.3654
Pm  0.1194  0.6346  0.9927
Pm  0.3654  0.0073  0.8806
Pm  0.5000  0.5000  0.5000
Pm  0.6346  0.9927  0.1194
Pm  0.8806  0.3654  0.0073
Pm  0.9927  0.1194  0.6346
Nd  0.1062  0.4261  0.3480
Nd  0.2233  0.3555  0.7577
Nd  0.2423  0.7767  0.6445
Nd  0.3480  0.1062  0.4261
Nd  0.3555  0.7577  0.2233
Nd  0.4261  0.3480  0.1062
Nd  0.5739  0.6520  0.8938
Nd  0.6445  0.2423  0.7767
Nd  0.6520  0.8938  0.5739
Nd  0.7577  0.2233  0.3555
Nd  0.7767  0.6445  0.2423
Nd  0.8938  0.5739  0.6520

Entry b
Material: LaPm7Nd12
Method: DFT, PBE
State: relaxed

## Properties
magnetization = 0.001 μB per cell
crystal system = cubic
symmetry = Im-3 (204)

a = 10.1130 Å, b = 10.1130 Å, c = 10.1130 Å
α = 109.47°, β = 109.47°, γ = 109.47°
Fractional coordinates of all 20 atoms:
La  0.0000  0.0000  0.0000
Pm  0.0000  0.0000  0.5000
Pm  0.0000  0.5000  0.0000
Pm  0.0000  0.5000  0.5000
Pm  0.5000  0.0000  0.0000
Pm  0.5000  0.0000  0.5000
Pm  0.5000  0.5000  0.0000
Pm  0.5000  0.5000  0.5000
Nd  0.0009  0.7480  0.2528
Nd  0.2520  0.2528  0.5048
Nd  0.2520  0.7472  0.9991
Nd  0.2528  0.0009  0.7480
Nd  0.2528  0.5048  0.2520
Nd  0.4952  0.7480  0.7472
Nd  0.5048  0.2520  0.2528
Nd  0.7472  0.4952  0.7480
Nd  0.7472  0.9991  0.2520
Nd  0.7480  0.2528  0.0009
Nd  0.7480  0.7472  0.4952
Nd  0.9991  0.2520  0.7472

Which structure is the most stable? The one labeled entry a.

Entry a
Material: LaPmNd5
Method: DFT, PBE
State: relaxed

## Properties
magnetization = 0.000 μB per cell
crystal system = monoclinic
symmetry = C2/c (15)

a = 7.0121 Å, b = 7.0121 Å, c = 12.5960 Å
α = 108.53°, β = 108.53°, γ = 59.99°
Fractional coordinates of all 14 atoms:
La  0.0316  0.9684  0.7500
La  0.9684  0.0316  0.2500
Pm  0.0000  0.5000  0.0000
Pm  0.5000  0.0000  0.5000
Nd  0.1538  0.4059  0.7496
Nd  0.1958  0.6509  0.5006
Nd  0.3491  0.8042  0.9994
Nd  0.4059  0.1538  0.2496
Nd  0.4073  0.5927  0.2500
Nd  0.5927  0.4073  0.7500
Nd  0.5941  0.8462  0.7504
Nd  0.6509  0.1958  0.0006
Nd  0.8042  0.3491  0.4994
Nd  0.8462  0.5941  0.2504

Entry b
Material: LaPmNd5
Method: DFT, PBE
State: relaxed

## Properties
magnetization = 0.168 μB per cell
crystal system = orthorhombic
symmetry = Immm (71)

a = 8.0563 Å, b = 8.0563 Å, c = 8.0563 Å
α = 137.15°, β = 113.02°, γ = 82.87°
Fractional coordinates of all 7 atoms:
La  0.0000  0.0000  0.0000
Pm  0.5000  0.5000  0.0000
Nd  0.1807  0.5000  0.6807
Nd  0.2483  0.2483  0.0000
Nd  0.5000  0.0000  0.5000
Nd  0.7517  0.7517  0.0000
Nd  0.8193  0.5000  0.3193

Which structure is the most stable? The one labeled entry a.

Entry a
Material: LaPm5Nd2
Method: DFT, PBE
State: relaxed

## Properties
magnetization = 0.000 μB per cell
crystal system = monoclinic
symmetry = C2/c (15)

a = 12.3121 Å, b = 12.3121 Å, c = 17.9188 Å
α = 123.81°, β = 123.81°, γ = 30.69°
Fractional coordinates of all 32 atoms:
La  0.0388  0.7320  0.8860
La  0.2680  0.9612  0.6140
La  0.7320  0.0388  0.3860
La  0.9612  0.2680  0.1140
Pm  0.0230  0.9339  0.1387
Pm  0.0661  0.9770  0.3613
Pm  0.1379  0.1939  0.8352
Pm  0.1600  0.4290  0.2855
Pm  0.1939  0.1379  0.3352
Pm  0.2667  0.4269  0.0322
Pm  0.2748  0.6180  0.4806
Pm  0.3820  0.7252  0.0194
Pm  0.4269  0.2667  0.5322
Pm  0.4290  0.1600  0.7855
Pm  0.5710  0.8400  0.2145
Pm  0.5731  0.7333  0.4678
Pm  0.6180  0.2748  0.9806
Pm  0.7252  0.3820  0.5194
Pm  0.7333  0.5731  0.9678
Pm  0.8061  0.8621  0.6648
Pm  0.8400  0.5710  0.7145
Pm  0.8621  0.8061  0.1648
Pm  0.9339  0.0230  0.6387
Pm  0.9770  0.0661  0.8613
Nd  0.1361  0.3063  0.5596
Nd  0.3063  0.1361  0.0596
Nd  0.3968  0.4719  0.7712
Nd  0.4719  0.3968  0.2712
Nd  0.5281  0.6032  0.7288
Nd  0.6032  0.5281  0.2288
Nd  0.6937  0.8639  0.9404
Nd  0.8639  0.6937  0.4404

Entry b
Material: LaPm5Nd2
Method: DFT, PBE
State: relaxed

## Properties
magnetization = 0.000 μB per cell
crystal system = orthorhombic
symmetry = Pbam (55)

a = 7.3393 Å, b = 14.6915 Å, c = 5.1976 Å
α = 90.00°, β = 90.00°, γ = 90.00°
Fractional coordinates of all 16 atoms:
La  0.0000  0.0000  0.0000
La  0.5000  0.5000  0.0000
Pm  0.9999  0.2515  0.0000
Pm  0.0000  0.5000  0.0000
Pm  0.0001  0.7485  0.0000
Pm  0.2500  0.1256  0.5000
Pm  0.2500  0.6256  0.5000
Pm  0.5000  0.0000  0.0000
Pm  0.4999  0.2485  0.0000
Pm  0.5001  0.7515  0.0000
Pm  0.7500  0.3744  0.5000
Pm  0.7500  0.8744  0.5000
Nd  0.2500  0.3741  0.5000
Nd  0.2500  0.8741  0.5000
Nd  0.7500  0.1259  0.5000
Nd  0.7500  0.6259  0.5000

Which structure is the most stable? The one labeled entry b.

Entry a
Material: LaPm2Nd4
Method: DFT, PBE
State: relaxed

## Properties
magnetization = 0.000 μB per cell
crystal system = tetragonal
symmetry = I4/mmm (139)

a = 12.0775 Å, b = 12.0775 Å, c = 12.0775 Å
α = 157.67°, β = 157.67°, γ = 31.79°
Fractional coordinates of all 7 atoms:
La  0.0000  0.0000  0.0000
Pm  0.4001  0.4001  0.0000
Pm  0.5999  0.5999  0.0000
Nd  0.1384  0.1384  0.0000
Nd  0.2500  0.7500  0.5000
Nd  0.7500  0.2500  0.5000
Nd  0.8616  0.8616  0.0000

Entry b
Material: LaPm2Nd4
Method: DFT, PBE
State: relaxed

## Properties
magnetization = 0.000 μB per cell
crystal system = tetragonal
symmetry = P4_2/mnm (136)

a = 9.3822 Å, b = 9.3822 Å, c = 5.9475 Å
α = 90.00°, β = 90.00°, γ = 90.00°
Fractional coordinates of all 14 atoms:
La  0.0000  0.0000  0.0000
La  0.5000  0.5000  0.5000
Pm  0.1856  0.1856  0.5000
Pm  0.3144  0.6856  0.0000
Pm  0.6856  0.3144  0.0000
Pm  0.8144  0.8144  0.5000
Nd  0.1023  0.3635  0.0000
Nd  0.1365  0.6023  0.5000
Nd  0.3635  0.1023  0.0000
Nd  0.3977  0.8635  0.5000
Nd  0.6023  0.1365  0.5000
Nd  0.6365  0.8977  0.0000
Nd  0.8635  0.3977  0.5000
Nd  0.8977  0.6365  0.0000

Which structure is the most stable? The one labeled entry b.